Compound: HfScPd
Source: Alexandria via LeMat-Bulk
Functional: PBE
Structure: optimized geometry

Lattice parameters (Å, degrees): 10.534 4.601 6.075 90.00 124.98 90.00
Space group C2/m (No. 12)
Unique sites:
Hf (0.168, 0.000, 0.254) [4 per cell]
Sc (0.049, 0.500, 0.803) [4 per cell]
Pd (0.165, 0.000, 0.690) [4 per cell]

Calculated values
Calculated formation energy = -44.59 kJ per mole of atoms
ΔE to the lowest computed polymorph = 0.112 eV per formula unit
Crystal system = monoclinic

=====

Compound: Hf2ScPd3
Source: Alexandria via LeMat-Bulk
Functional: PBE
Structure: optimized geometry

Lattice parameters (Å, degrees): 3.362 3.362 9.759 90.00 90.00 90.00
Space group P4/mmm (No. 123)
Unique sites:
Hf (0.000, 0.000, 0.168) [2 per cell]
Sc (0.000, 0.000, 0.500) [1 per cell]
Pd (0.500, 0.500, 0.000) [1 per cell]
Pd (0.500, 0.500, 0.327) [2 per cell]

Calculated values
Calculated formation energy = -68.54 kJ per mole of atoms
ΔE to the lowest computed polymorph = 0.017 eV per formula unit
Crystal system = tetragonal

=====

Compound: HfSc5Pd6
Source: Alexandria via LeMat-Bulk
Functional: PBE
Structure: optimized geometry

Lattice parameters (Å, degrees): 8.124 14.074 4.693 90.00 125.23 90.00
Space group C2/m (No. 12)
Unique sites:
Hf (0.000, 0.000, 0.000) [2 per cell]
Sc (0.000, 0.169, 0.500) [4 per cell]
Sc (0.000, 0.334, 0.000) [4 per cell]
Sc (0.000, 0.500, 0.500) [2 per cell]
Pd (0.240, 0.000, 0.740) [4 per cell]
Pd (0.246, 0.163, 0.246) [8 per cell]

Calculated values
Calculated formation energy = -82.42 kJ per mole of atoms
Crystal system = monoclinic

=====

Compound: HfSc2Pd5
Source: Alexandria via LeMat-Bulk
Functional: PBE
Structure: optimized geometry

Lattice parameters (Å, degrees): 5.626 10.830 4.554 90.00 90.00 90.00
Space group Pbam (No. 55)
Unique sites:
Hf (0.000, 0.000, 0.000) [2 per cell]
Sc (0.150, 0.355, 0.500) [4 per cell]
Pd (0.000, 0.500, 0.000) [2 per cell]
Pd (0.135, 0.752, 0.000) [4 per cell]
Pd (0.166, 0.103, 0.500) [4 per cell]

Calculated values
Calculated formation energy = -80.72 kJ per mole of atoms
Crystal system = orthorhombic

=====

Compound: HfScPd
Source: Alexandria via LeMat-Bulk
Functional: PBE
Structure: optimized geometry

Lattice parameters (Å, degrees): 4.714 10.586 4.727 90.00 90.00 90.00
Space group Cmmm (No. 65)
Unique sites:
Hf (0.000, 0.156, 0.000) [4 per cell]
Sc (0.000, 0.345, 0.500) [4 per cell]
Pd (0.000, 0.000, 0.500) [2 per cell]
Pd (0.000, 0.500, 0.000) [2 per cell]

Calculated values
Calculated formation energy = -47.61 kJ per mole of atoms
ΔE to the lowest computed polymorph = 0.018 eV per formula unit
Crystal system = orthorhombic

=====

Compound: HfSc4Pd5
Source: Alexandria via LeMat-Bulk
Functional: PBE
Structure: optimized geometry

Lattice parameters (Å, degrees): 3.276 3.276 16.987 90.00 90.00 90.00
Space group P4/mmm (No. 123)
Unique sites:
Hf (0.000, 0.000, 0.000) [1 per cell]
Sc (0.000, 0.000, 0.201) [2 per cell]
Sc (0.000, 0.000, 0.400) [2 per cell]
Pd (0.500, 0.500, 0.098) [2 per cell]
Pd (0.500, 0.500, 0.301) [2 per cell]
Pd (0.500, 0.500, 0.500) [1 per cell]

Calculated values
Calculated formation energy = -80.74 kJ per mole of atoms
Crystal system = tetragonal

=====

Compound: HfSc2Pd2
Source: Alexandria via LeMat-Bulk
Functional: PBE
Structure: optimized geometry

Lattice parameters (Å, degrees): 7.375 7.375 3.626 90.00 90.00 90.00
Space group P4/mbm (No. 127)
Unique sites:
Hf (0.000, 0.000, 0.000) [2 per cell]
Sc (0.165, 0.335, 0.500) [4 per cell]
Pd (0.135, 0.635, 0.000) [4 per cell]

Calculated values
Calculated formation energy = -58.15 kJ per mole of atoms
ΔE to the lowest computed polymorph = 0.000 eV per formula unit
Crystal system = tetragonal

=====

Compound: Hf2Sc3Pd2
Source: Alexandria via LeMat-Bulk
Functional: PBE
Structure: optimized geometry

Lattice parameters (Å, degrees): 3.168 28.158 3.217 90.00 90.00 90.00
Space group Cmmm (No. 65)
Unique sites:
Hf (0.000, 0.204, 0.000) [4 per cell]
Sc (0.000, 0.375, 0.500) [4 per cell]
Sc (0.000, 0.500, 0.500) [2 per cell]
Pd (0.000, 0.060, 0.000) [4 per cell]

Calculated values
Calculated formation energy = -37.76 kJ per mole of atoms
Crystal system = orthorhombic

=====

Compound: HfSc2Pd
Source: Alexandria via LeMat-Bulk
Functional: PBE
Structure: optimized geometry

Lattice parameters (Å, degrees): 6.878 6.878 6.878 90.00 90.00 90.00
Space group Fm-3m (No. 225)
Unique sites:
Hf (0.000, 0.000, 0.000) [4 per cell]
Sc (0.250, 0.250, 0.250) [8 per cell]
Pd (0.000, 0.000, 0.500) [4 per cell]

Calculated values
Calculated formation energy = -9.73 kJ per mole of atoms
ΔE to the lowest computed polymorph = 1.260 eV per formula unit
Crystal system = cubic

=====

Compound: HfScSi2Pd
Source: Alexandria via LeMat-Bulk
Functional: PBE
Structure: optimized geometry

Lattice parameters (Å, degrees): 4.600 4.600 5.084 90.00 90.00 90.00
Space group P4/mmm (No. 123)
Unique sites:
Hf (0.000, 0.000, 0.000) [1 per cell]
Sc (0.500, 0.500, 0.000) [1 per cell]
Si (0.000, 0.500, 0.500) [2 per cell]
Pd (0.000, 0.000, 0.500) [1 per cell]

Calculated values
ΔE to the lowest computed polymorph = 0.000 eV per formula unit
Uncorrected formation energy = 160 kJ/mol of formula units
Crystal system = tetragonal

=====

Compound: HfScSi2Pd
Source: Alexandria via LeMat-Bulk
Functional: PBE
Structure: optimized geometry

Lattice parameters (Å, degrees): 4.804 4.804 4.594 90.00 90.00 90.00
Space group P4/mmm (No. 123)
Unique sites:
Hf (0.000, 0.000, 0.000) [1 per cell]
Sc (0.500, 0.500, 0.500) [1 per cell]
Si (0.000, 0.500, 0.500) [2 per cell]
Pd (0.500, 0.500, 0.000) [1 per cell]

Calculated values
ΔE to the lowest computed polymorph = 1.509 eV per formula unit
Uncorrected formation energy = 306 kJ/mol of formula units
Crystal system = tetragonal

=====

Compound: HfScTlPd
Source: Alexandria via LeMat-Bulk
Functional: PBE
Structure: optimized geometry

Lattice parameters (Å, degrees): 6.897 6.897 6.897 90.00 90.00 90.00
Space group F-43m (No. 216)
Unique sites:
Hf (0.000, 0.000, 0.000) [4 per cell]
Sc (0.000, 0.000, 0.500) [4 per cell]
Tl (0.250, 0.250, 0.750) [4 per cell]
Pd (0.250, 0.250, 0.250) [4 per cell]

Calculated values
Calculated formation energy = -30.32 kJ per mole of atoms
Crystal system = cubic